Crystalline Cr4CoNiS8 at its relaxed geometry. Source: Alexandria via LeMat-Bulk, functional GGA-PBEsol.

Space group ... F-43m (216)
E ... -98.9 eV per cell
Total magnetization ... 7.452 μB/cell
Formation energy from raw total energies ... -869 kJ/mol of formula units
Calculated volume ... 217 Å³ per cell

Cell: 6.7443 6.7443 6.7443 Å, 60.00 60.00 60.00°
Each line ends with the local moment (μB).
Element x y z (fractional)
1 Co 0.7500 0.7500 0.7500  -1.45
2 S 0.3701 0.8897 0.3701  -0.11
3 S 0.3623 0.8792 0.8792  -0.12
4 S 0.8792 0.8792 0.8792  -0.12
5 S 0.3701 0.3701 0.8897  -0.11
6 S 0.8792 0.8792 0.3623  -0.12
7 S 0.8897 0.3701 0.3701  -0.11
8 S 0.8792 0.3623 0.8792  -0.12
9 S 0.3701 0.3701 0.3701  -0.11
10 Cr 0.1252 0.1252 0.1252  2.47
11 Cr 0.1252 0.1252 0.6245  2.47
12 Cr 0.6245 0.1252 0.1252  2.47
13 Cr 0.1252 0.6245 0.1252  2.47
14 Ni 0.5000 0.5000 0.5000  -0.46



Crystalline Cr3Co2O12 at its relaxed geometry. Source: Alexandria via LeMat-Bulk, functional GGA-PBEsol.

Space group ... P2_1/c (14)
E ... -535.3 eV per cell
Total magnetization ... 0.002 μB/cell
Formation energy from raw total energies ... -2377 kJ/mol of formula units
Calculated volume ... 853 Å³ per cell

Cell: 8.4200 8.6210 11.7570 Å, 90.00 90.82 90.00°
Element x y z (fractional)
1 O 0.6742 0.6572 0.9255
2 O 0.9163 0.8917 0.1065
3 O 0.8983 0.3785 0.4207
4 O 0.3258 0.3428 0.0745
5 O 0.7248 0.5704 0.5351
6 O 0.4180 0.6324 0.0632
7 O 0.8783 0.1910 0.1580
8 O 0.8480 0.2944 0.8213
9 O 0.0837 0.1083 0.8935
10 O 0.9180 0.8676 0.5632
11 O 0.3983 0.1215 0.9207
12 O 0.7250 0.9783 0.2671
13 O 0.9169 0.5816 0.8183
14 O 0.3560 0.5105 0.2547
15 O 0.5837 0.3917 0.3935
16 O 0.8577 0.4388 0.0161
17 O 0.3783 0.3090 0.6580
18 O 0.8560 0.9895 0.7547
19 O 0.6423 0.9388 0.4839
20 O 0.1423 0.5612 0.9839
21 O 0.8258 0.1572 0.5745
22 O 0.1017 0.6215 0.5793
23 O 0.2752 0.4296 0.4649
24 O 0.4163 0.6083 0.6065
25 O 0.1217 0.8090 0.8420
26 O 0.1520 0.7056 0.1787
27 O 0.0773 0.3325 0.6163
28 O 0.7752 0.0704 0.9649
29 O 0.0820 0.1324 0.4368
30 O 0.6520 0.7944 0.6787
31 O 0.4227 0.8325 0.8837
32 O 0.0831 0.4184 0.1817
33 O 0.7750 0.4783 0.2329
34 O 0.1742 0.8428 0.4255
35 O 0.3577 0.0612 0.5161
36 O 0.5773 0.1675 0.1163
37 O 0.6440 0.4895 0.7453
38 O 0.5831 0.0816 0.6817
39 O 0.2248 0.9296 0.0351
40 O 0.5820 0.3676 0.9368
41 O 0.2750 0.0217 0.7329
42 O 0.9227 0.6675 0.3837
43 O 0.3480 0.2056 0.3213
44 O 0.6217 0.6910 0.3420
45 O 0.1440 0.0105 0.2453
46 O 0.2250 0.5217 0.7671
47 O 0.4169 0.9184 0.3183
48 O 0.6017 0.8785 0.0793
49 Co 0.2470 0.4689 0.6151
50 Co 0.2537 0.0306 0.3800
51 Co 0.2463 0.5306 0.1200
52 Co 0.7463 0.9694 0.6200
53 Co 0.7537 0.4694 0.8800
54 Co 0.7470 0.0311 0.1151
55 Co 0.2530 0.9689 0.8849
56 Co 0.7530 0.5311 0.3849
57 Cr 0.1046 0.6172 0.8530
58 Cr 0.1076 0.8854 0.1420
59 Cr 0.4709 0.2501 0.0111
60 Cr 0.3924 0.3854 0.3580
61 Cr 0.6046 0.8828 0.3530
62 Cr 0.3954 0.1172 0.6470
63 Cr 0.8924 0.1146 0.8580
64 Cr 0.0291 0.7501 0.4889
65 Cr 0.6076 0.6146 0.6420
66 Cr 0.9709 0.2499 0.5111
67 Cr 0.5291 0.7499 0.9889
68 Cr 0.8954 0.3828 0.1470



Crystalline Cr3Co2O12 at its relaxed geometry. Source: Alexandria via LeMat-Bulk, functional GGA-PBEsol.

Space group ... Pbcn (60)
E ... -535.2 eV per cell
Total magnetization ... 0.000 μB/cell
Formation energy from raw total energies ... -2374 kJ/mol of formula units
Calculated volume ... 872 Å³ per cell

Cell: 8.6287 8.5845 11.7668 Å, 90.00 90.00 90.00°
Element x y z (fractional)
1 O 0.9139 0.6727 0.0211
2 O 0.1934 0.8718 0.3193
3 O 0.1131 0.3741 0.5605
4 O 0.3189 0.5903 0.6028
5 O 0.3189 0.0903 0.8972
6 O 0.6934 0.1282 0.3193
7 O 0.6811 0.4097 0.3972
8 O 0.9139 0.1727 0.4789
9 O 0.9992 0.8260 0.7376
10 O 0.8066 0.6282 0.8193
11 O 0.9992 0.3260 0.7624
12 O 0.4992 0.1740 0.7376
13 O 0.8066 0.1282 0.6807
14 O 0.8189 0.4097 0.6028
15 O 0.3952 0.0956 0.3563
16 O 0.3869 0.3741 0.4395
17 O 0.0008 0.1740 0.2624
18 O 0.0861 0.3273 0.9789
19 O 0.4139 0.3273 0.0211
20 O 0.1811 0.0903 0.1028
21 O 0.3952 0.5956 0.1437
22 O 0.1811 0.5903 0.3972
23 O 0.3066 0.8718 0.6807
24 O 0.1048 0.5956 0.8563
25 O 0.3066 0.3718 0.8193
26 O 0.1131 0.8741 0.9395
27 O 0.6934 0.6282 0.1807
28 O 0.8869 0.6259 0.4395
29 O 0.5861 0.1727 0.5211
30 O 0.8952 0.9044 0.3563
31 O 0.1934 0.3718 0.1807
32 O 0.1048 0.0956 0.6437
33 O 0.8869 0.1259 0.0605
34 O 0.4139 0.8273 0.4789
35 O 0.6048 0.9044 0.6437
36 O 0.3869 0.8741 0.0605
37 O 0.6131 0.1259 0.9395
38 O 0.5008 0.3260 0.2376
39 O 0.6048 0.4044 0.8563
40 O 0.5861 0.6727 0.9789
41 O 0.8189 0.9097 0.8972
42 O 0.6811 0.9097 0.1028
43 O 0.0861 0.8273 0.5211
44 O 0.4992 0.6740 0.7624
45 O 0.8952 0.4044 0.1437
46 O 0.6131 0.6259 0.5605
47 O 0.5008 0.8260 0.2624
48 O 0.0008 0.6740 0.2376
49 Co 0.9603 0.2498 0.6194
50 Co 0.9603 0.7498 0.8806
51 Co 0.5397 0.2498 0.3806
52 Co 0.0397 0.2502 0.1194
53 Co 0.0397 0.7502 0.3806
54 Co 0.4603 0.2502 0.8806
55 Co 0.5397 0.7498 0.1194
56 Co 0.4603 0.7502 0.6194
57 Cr 0.6223 0.5970 0.8539
58 Cr 0.8777 0.0970 0.3539
59 Cr 0.3777 0.4030 0.1461
60 Cr 0.2500 0.4772 0.5000
61 Cr 0.7500 0.5228 0.5000
62 Cr 0.8777 0.5970 0.1461
63 Cr 0.1223 0.9030 0.6461
64 Cr 0.6223 0.0970 0.6461
65 Cr 0.3777 0.9030 0.3539
66 Cr 0.2500 0.9772 0.0000
67 Cr 0.7500 0.0228 0.0000
68 Cr 0.1223 0.4030 0.8539



Crystalline Cr3Co5O16 at its relaxed geometry. Source: Alexandria via LeMat-Bulk, functional GGA-PBEsol.

Space group ... Cm (8)
E ... -183.9 eV per cell
Total magnetization ... 2.816 μB/cell
Formation energy from raw total energies ... -2942 kJ/mol of formula units
Calculated volume ... 224 Å³ per cell

Cell: 5.4091 5.4091 8.6726 Å, 89.88 89.88 61.75°
Each line ends with the local moment (μB).
Element x y z (fractional)
1 O 0.6560 0.1632 0.5955  0.00
2 O 0.3274 0.3274 0.1079  -0.02
3 O 0.5330 0.9608 0.8358  0.00
4 O 0.5182 0.5182 0.8350  0.01
5 O 0.1631 0.1631 0.6014  0.24
6 O 0.0368 0.4687 0.3384  -0.02
7 O 0.0076 0.0076 0.8370  0.00
8 O 0.4687 0.0368 0.3384  -0.02
9 O 0.8285 0.8285 0.1061  -0.04
10 O 0.9879 0.9879 0.3376  -0.01
11 O 0.9608 0.5330 0.8358  0.00
12 O 0.8136 0.3445 0.0942  -0.06
13 O 0.6736 0.6736 0.6073  -0.01
14 O 0.3445 0.8136 0.0942  -0.06
15 O 0.4785 0.4785 0.3419  -0.03
16 O 0.1632 0.6560 0.5955  0.00
17 Co 0.8350 0.3373 0.7108  0.21
18 Co 0.1570 0.1570 0.2150  -0.09
19 Co 0.3373 0.8350 0.7108  0.21
20 Co 0.3256 0.3256 0.4810  0.22
21 Co 0.6688 0.6688 0.9749  -0.18
22 Cr 0.6812 0.1699 0.2063  1.21
23 Cr 0.1699 0.6812 0.2063  1.21
24 Cr 0.8618 0.8618 0.7044  -0.04



Crystalline CrCo3O8 at its relaxed geometry. Source: Alexandria via LeMat-Bulk, functional GGA-PBEsol.

Space group ... P6_3mc (186)
E ... -179.0 eV per cell
Total magnetization ... 2.133 μB/cell
Formation energy from raw total energies ... -1357 kJ/mol of formula units
Calculated volume ... 226 Å³ per cell

Cell: 5.5470 5.5470 8.4655 Å, 90.00 90.00 120.00°
Each line ends with the local moment (μB).
Element x y z (fractional)
1 Co 0.1687 0.8313 0.2890  0.35
2 Co 0.6627 0.8313 0.2890  0.35
3 Co 0.1687 0.3373 0.2890  0.35
4 Co 0.3373 0.1687 0.7890  0.35
5 Co 0.8313 0.6627 0.7890  0.35
6 Co 0.8313 0.1687 0.7890  0.35
7 O 0.3448 0.1724 0.4016  0.04
8 O 0.1724 0.8276 0.9016  0.04
9 O 0.5227 0.4773 0.6614  0.02
10 O 0.9546 0.4773 0.6614  0.02
11 O 0.6552 0.8276 0.9016  0.04
12 O 0.6667 0.3333 0.9002  0.07
13 O 0.0454 0.5227 0.1614  0.02
14 O 0.8276 0.6552 0.4016  0.04
15 O 0.3333 0.6667 0.4002  0.07
16 O 0.5227 0.0454 0.6614  0.02
17 O 0.0000 0.0000 0.6863  0.11
18 O 0.4773 0.5227 0.1614  0.02
19 O 0.4773 0.9546 0.1614  0.02
20 O 0.8276 0.1724 0.4016  0.04
21 O 0.0000 0.0000 0.1863  0.11
22 O 0.1724 0.3448 0.9016  0.04
23 Cr 0.6667 0.3333 0.4989  -0.41
24 Cr 0.3333 0.6667 0.9989  -0.41



Please write out number 4 again, unchanged.
Crystalline Cr3Co5O16 at its relaxed geometry. Source: Alexandria via LeMat-Bulk, functional GGA-PBEsol.

Space group ... Cm (8)
E ... -183.9 eV per cell
Total magnetization ... 2.816 μB/cell
Formation energy from raw total energies ... -2942 kJ/mol of formula units
Calculated volume ... 224 Å³ per cell

Cell: 5.4091 5.4091 8.6726 Å, 89.88 89.88 61.75°
Each line ends with the local moment (μB).
Element x y z (fractional)
1 O 0.6560 0.1632 0.5955  0.00
2 O 0.3274 0.3274 0.1079  -0.02
3 O 0.5330 0.9608 0.8358  0.00
4 O 0.5182 0.5182 0.8350  0.01
5 O 0.1631 0.1631 0.6014  0.24
6 O 0.0368 0.4687 0.3384  -0.02
7 O 0.0076 0.0076 0.8370  0.00
8 O 0.4687 0.0368 0.3384  -0.02
9 O 0.8285 0.8285 0.1061  -0.04
10 O 0.9879 0.9879 0.3376  -0.01
11 O 0.9608 0.5330 0.8358  0.00
12 O 0.8136 0.3445 0.0942  -0.06
13 O 0.6736 0.6736 0.6073  -0.01
14 O 0.3445 0.8136 0.0942  -0.06
15 O 0.4785 0.4785 0.3419  -0.03
16 O 0.1632 0.6560 0.5955  0.00
17 Co 0.8350 0.3373 0.7108  0.21
18 Co 0.1570 0.1570 0.2150  -0.09
19 Co 0.3373 0.8350 0.7108  0.21
20 Co 0.3256 0.3256 0.4810  0.22
21 Co 0.6688 0.6688 0.9749  -0.18
22 Cr 0.6812 0.1699 0.2063  1.21
23 Cr 0.1699 0.6812 0.2063  1.21
24 Cr 0.8618 0.8618 0.7044  -0.04